1.
Material: KHfTeN2
Method: DFT, PBE-GGA
State: optimized geometry

It has space group P4/mmm (No. 123), with a = 4.430 Å, b = 4.430 Å, c = 5.713 Å, α = 90.00°, β = 90.00° and γ = 90.00°. The asymmetric unit holds K at (0.000, 0.000, 0.000), Hf at (0.500, 0.500, 0.500), Te at (0.500, 0.500, 0.000) and N at (0.000, 0.500, 0.500).

The value obtained for the energy above the most stable polymorph in this dataset is 0.000 eV per atom. Its crystal system is tetragonal. For the uncorrected formation energy, the calculation gives 0.0741 eV/atom. The total energy is -6.095 eV/atom. The value obtained for the theoretical density is 5.53 g/cm³.

=====

2.
Material: KHfW2N6
Method: DFT, PBE-GGA
State: optimized geometry

It has space group C2/c (No. 15), with a = 11.368 Å, b = 12.439 Å, c = 6.407 Å, α = 90.00°, β = 114.34° and γ = 90.00°. The asymmetric unit holds K at (0.000, 0.108, 0.250), Hf at (0.000, 0.232, 0.750), W at (0.202, 0.421, 0.170), N at (0.090, 0.309, 0.057), N at (0.130, 0.129, 0.720) and N at (0.184, 0.486, 0.425).

Its crystal system is monoclinic. For the uncorrected formation energy, the calculation gives -0.4739 eV/atom. The total energy is -9.165 eV/atom. The value obtained for the theoretical density is 5.39 g/cm³.

=====

3.
Material: K2Na2Hf
Method: DFT, PBE-GGA
State: optimized geometry

It has space group P4/mbm (No. 127), with a = 10.550 Å, b = 10.550 Å, c = 3.282 Å, α = 90.00°, β = 90.00° and γ = 90.00°. The asymmetric unit holds K at (0.142, 0.358, 0.000), Na at (0.166, 0.666, 0.500) and Hf at (0.000, 0.000, 0.000).

The value obtained for the energy above the most stable polymorph in this dataset is 0.000 eV per atom. Its crystal system is tetragonal. Its energy of formation is 0.803 eV per atom. The total energy is -2.154 eV/atom. The value obtained for the theoretical density is 2.75 g/cm³.

=====

4.
Material: KNaHf3
Method: DFT, PBE-GGA
State: optimized geometry

It has space group Pm-3m (No. 221), with a = 5.253 Å, b = 5.253 Å, c = 5.253 Å, α = 90.00°, β = 90.00° and γ = 90.00°. The asymmetric unit holds K at (0.000, 0.000, 0.000), Na at (0.500, 0.500, 0.500) and Hf at (0.000, 0.500, 0.500).

Its crystal system is cubic. Its energy of formation is 1.828 eV per atom. The total energy is -4.627 eV/atom. The value obtained for the theoretical density is 6.85 g/cm³.

=====

5.
Material: K2Na2Hf
Method: DFT, PBE-GGA
State: optimized geometry

It has space group I4/mmm (No. 139), with a = 4.045 Å, b = 4.045 Å, c = 25.571 Å, α = 90.00°, β = 90.00° and γ = 90.00°. The asymmetric unit holds K at (0.000, 0.000, 0.106), Na at (0.000, 0.500, 0.250) and Hf at (0.000, 0.000, 0.500).

The value obtained for the energy above the most stable polymorph in this dataset is 0.041 eV per atom. Its crystal system is tetragonal. Its energy of formation is 0.844 eV per atom. The total energy is -2.113 eV/atom. The value obtained for the theoretical density is 2.40 g/cm³.

=====

6.
Material: KNa3Hf
Method: DFT, PBE-GGA
State: optimized geometry

It has space group Pm-3m (No. 221), with a = 6.340 Å, b = 6.340 Å, c = 6.340 Å, α = 90.00°, β = 90.00° and γ = 90.00°. The asymmetric unit holds K at (0.000, 0.000, 0.000), Na at (0.000, 0.500, 0.500) and Hf at (0.500, 0.500, 0.500).

The value obtained for the energy above the most stable polymorph in this dataset is 0.000 eV per atom. Its crystal system is cubic. Its energy of formation is 1.050 eV per atom. The total energy is -1.952 eV/atom. The value obtained for the theoretical density is 1.87 g/cm³.

=====

7.
Material: K3NaHf
Method: DFT, PBE-GGA
State: optimized geometry

It has space group Pm-3m (No. 221), with a = 6.893 Å, b = 6.893 Å, c = 6.893 Å, α = 90.00°, β = 90.00° and γ = 90.00°. The asymmetric unit holds K at (0.000, 0.000, 0.500), Na at (0.500, 0.500, 0.500) and Hf at (0.000, 0.000, 0.000).

Its crystal system is cubic. Its energy of formation is 1.102 eV per atom. The total energy is -1.811 eV/atom. The value obtained for the theoretical density is 1.62 g/cm³.

=====

8.
Material: KNaHf2O
Method: DFT, PBE-GGA
State: optimized geometry

It has space group P4/mmm (No. 123), with a = 4.338 Å, b = 4.338 Å, c = 6.533 Å, α = 90.00°, β = 90.00° and γ = 90.00°. The asymmetric unit holds K at (0.000, 0.000, 0.000), Na at (0.500, 0.500, 0.000), Hf at (0.000, 0.500, 0.500) and O at (0.500, 0.500, 0.500).

Its crystal system is tetragonal. For the uncorrected formation energy, the calculation gives -0.2841 eV/atom. The total energy is -5.740 eV/atom. The value obtained for the theoretical density is 5.88 g/cm³.